Entry 1:
Material: PrDyCl6
Method: DFT, PBE
State: optimized geometry

```
PrDyCl6
1.0
-5.941 -4.216 -0.819
2.277 -4.281 5.145
-1.794 1.296 6.715
Cl Dy Pr
6 1 1
direct
0.239 0.022 0.307
0.239 0.734 0.021
0.761 0.307 0.022
0.761 0.021 0.734
0.766 0.734 0.307
0.234 0.307 0.734
0.000 0.021 0.021
0.500 0.021 0.021
```

As for the electronic total energy: -38.1 eV per cell. The uncorrected formation energy is -2.20 eV per atom. As for the size of the total moment: 0.00 μB per cell. As for the density of states at the Fermi level: 0.000 states/eV/cell. The energy above the most stable polymorph in this dataset is 45 meV/atom.

***

Entry 2:
Material: NiAgPt
Method: DFT, PBE
State: optimized geometry

```
NiAgPt
1.0
-5.211 0.231 -2.170
-0.692 -2.272 1.420
-0.627 6.324 9.815
Pt Ni Ag
4 4 4
direct
0.333 0.000 0.152
0.667 0.500 0.348
0.667 0.000 0.848
0.333 0.500 0.652
0.500 0.500 0.000
0.500 0.000 0.500
0.000 0.500 0.000
0.000 0.000 0.500
0.170 0.000 0.840
0.170 0.500 0.340
0.830 0.000 0.160
0.830 0.500 0.660
```

As for the electronic total energy: -58.2 eV per cell. As for the size of the total moment: 2.76 μB per cell. Its energy relative to the elements is 4.3 kJ per mole of atoms. As for the density of states at the Fermi level: 13.691 states/eV/cell. The energy above the most stable polymorph in this dataset is 7 meV/atom.

***

Entry 3:
Material: CoPRu
Method: DFT, PBE
State: optimized geometry

```
CoPRu
1.0
3.552 -0.174 0.055
0.173 3.552 0.055
-0.093 -0.084 5.712
P Co Ru
2 2 2
direct
0.750 0.750 0.241
0.250 0.250 0.759
0.250 0.750 0.000
0.750 0.250 0.000
0.750 0.750 0.637
0.250 0.250 0.363
```

As for the electronic total energy: -46.3 eV per cell. As for the size of the total moment: 2.79 μB per cell. Its energy relative to the elements is -44.1 kJ per mole of atoms. As for the density of states at the Fermi level: 5.981 states/eV/cell.

***

Entry 4:
Material: PmSn3Pd3
Method: DFT, PBE
State: optimized geometry

```
PmSn3Pd3
1.0
-4.562 -6.678 -2.308
0.543 -2.951 -7.857
2.690 -6.483 -1.881
Pd Pm Sn
6 2 6
direct
0.278 0.605 0.175
0.395 0.058 0.825
0.722 0.395 0.825
0.942 0.278 0.175
0.605 0.942 0.175
0.058 0.722 0.825
0.331 0.331 0.007
0.669 0.669 0.993
0.585 0.199 0.334
0.199 0.882 0.334
0.801 0.118 0.666
0.882 0.585 0.334
0.118 0.415 0.666
0.415 0.801 0.666
```

As for the electronic total energy: -72.3 eV per cell. As for the size of the total moment: 0.00 μB per cell. Its energy relative to the elements is -52.4 kJ per mole of atoms. As for the density of states at the Fermi level: 2.108 states/eV/cell. The energy above the most stable polymorph in this dataset is 0 meV/atom.

***

Entry 5:
Material: AlB3H
Method: DFT, PBE
State: optimized geometry

```
AlB3H
1.0
4.197 0.000 0.000
0.000 4.197 0.000
0.000 0.000 4.197
Al H B
1 1 3
direct
0.000 0.000 0.000
0.500 0.500 0.500
0.500 0.000 0.000
0.000 0.500 0.000
0.000 0.000 0.500
```

As for the electronic total energy: -15.6 eV per cell. As for the size of the total moment: 0.00 μB per cell. As for the density of states at the Fermi level: 3.184 states/eV/cell. The energy above the most stable polymorph in this dataset is 948 meV/atom.

***

Entry 6:
Material: Rb2ScPdI6
Method: DFT, PBE
State: optimized geometry

```
Rb2ScPdI6
1.0
8.242 0.000 0.000
4.121 7.138 0.000
4.121 2.379 13.673
Sc I Pd Rb
2 12 2 4
direct
0.418 0.418 0.747
0.582 0.582 0.253
0.706 0.210 0.874
0.128 0.624 0.625
0.790 0.294 0.126
0.210 0.706 0.874
0.210 0.210 0.874
0.624 0.128 0.625
0.294 0.790 0.126
0.790 0.790 0.126
0.624 0.624 0.625
0.376 0.872 0.375
0.376 0.376 0.375
0.872 0.376 0.375
0.500 0.500 0.500
0.000 0.000 0.000
0.701 0.701 0.896
0.116 0.116 0.651
0.884 0.884 0.349
0.299 0.299 0.104
```

As for the electronic total energy: -66.3 eV per cell. The uncorrected formation energy is -1.04 eV per atom. As for the size of the total moment: 2.05 μB per cell. As for the density of states at the Fermi level: 11.661 states/eV/cell. The energy above the most stable polymorph in this dataset is 0 meV/atom.

***

Entry 7:
Material: BaAsPt2
Method: DFT, PBE
State: optimized geometry

```
BaAsPt2
1.0
3.407 0.000 0.000
0.000 3.404 0.000
0.000 0.000 7.522
Pt Ba As
2 1 1
direct
0.000 0.000 0.436
0.000 0.000 0.064
0.500 0.500 0.750
0.500 0.500 0.250
```

As for the electronic total energy: -19.5 eV per cell. As for the size of the total moment: 0.00 μB per cell. Its energy relative to the elements is -21.3 kJ per mole of atoms. As for the density of states at the Fermi level: 1.825 states/eV/cell.

***

Entry 8:
Material: GeBi2C
Method: DFT, PBE
State: optimized geometry

```
GeBi2C
1.0
0.000 3.507 3.507
3.507 0.000 3.507
3.507 3.507 0.000
Bi Ge C
2 1 1
direct
0.250 0.250 0.250
0.750 0.750 0.750
0.500 0.500 0.500
0.000 0.000 0.000
```

As for the electronic total energy: -16.0 eV per cell. As for the size of the total moment: 0.00 μB per cell. Its energy relative to the elements is 136.0 kJ per mole of atoms. As for the density of states at the Fermi level: 2.945 states/eV/cell. The energy above the most stable polymorph in this dataset is 373 meV/atom.

***

Entry 9:
Material: TmLuSc2
Method: DFT, PBE
State: optimized geometry

```
TmLuSc2
1.0
-1.646 -2.958 -0.129
0.781 -0.576 3.246
-7.935 4.299 2.672
Sc Tm Lu
2 1 1
direct
0.000 0.000 0.250
0.000 0.000 0.750
0.500 0.500 0.500
0.500 0.500 0.000
```

As for the electronic total energy: -21.4 eV per cell. As for the size of the total moment: 0.00 μB per cell. Its energy relative to the elements is 5.0 kJ per mole of atoms. As for the density of states at the Fermi level: 6.573 states/eV/cell. The energy above the most stable polymorph in this dataset is 0 meV/atom.

***

Entry 10:
Material: RbErZnCl6
Method: DFT, PBE
State: optimized geometry

```
RbErZnCl6
1.0
6.708 0.000 0.000
-3.354 5.809 0.000
0.000 0.000 14.670
Cl Er Rb Zn
12 2 2 2
direct
0.014 0.630 0.850
0.370 0.986 0.650
0.630 0.616 0.150
0.616 0.986 0.850
0.630 0.014 0.350
0.370 0.384 0.850
0.986 0.616 0.350
0.384 0.014 0.150
0.616 0.630 0.650
0.384 0.370 0.350
0.986 0.370 0.150
0.014 0.384 0.650
0.333 0.667 0.250
0.667 0.333 0.750
0.000 0.000 0.500
0.000 0.000 0.000
0.667 0.333 0.250
0.333 0.667 0.750
```

As for the electronic total energy: -68.8 eV per cell. The uncorrected formation energy is -1.84 eV per atom. As for the size of the total moment: 0.00 μB per cell. As for the density of states at the Fermi level: 0.000 states/eV/cell.

***

Entry 11:
Material: Ba2As2O7
Method: DFT, PBE
State: optimized geometry

```
Ba2As2O7
1.0
7.598 0.058 -0.060
0.103 7.558 -0.090
1.488 0.584 13.551
O As Ba
28 8 8
direct
0.986 0.690 0.554
0.972 0.074 0.149
0.749 0.603 0.352
0.034 0.533 0.189
0.651 0.701 0.659
0.251 0.397 0.648
0.677 0.002 0.046
0.416 0.702 0.455
0.323 0.998 0.954
0.136 0.997 0.351
0.333 0.699 0.840
0.648 0.287 0.842
0.352 0.713 0.158
0.693 0.600 0.949
0.014 0.310 0.446
0.097 0.708 0.015
0.720 0.903 0.476
0.307 0.400 0.051
0.412 0.081 0.703
0.667 0.301 0.160
0.280 0.097 0.524
0.588 0.919 0.297
0.028 0.926 0.851
0.864 0.003 0.649
0.584 0.298 0.545
0.349 0.299 0.341
0.966 0.467 0.811
0.903 0.292 0.985
0.211 0.580 0.106
0.193 0.177 0.410
0.608 0.769 0.392
0.196 0.839 0.911
0.807 0.823 0.590
0.789 0.420 0.894
0.804 0.161 0.089
0.392 0.231 0.608
0.289 0.761 0.644
0.874 0.358 0.637
0.126 0.642 0.363
0.331 0.085 0.157
0.711 0.239 0.356
0.277 0.328 0.862
0.723 0.672 0.138
0.669 0.915 0.843
```

As for the electronic total energy: -282.2 eV per cell. The uncorrected formation energy is -2.06 eV per atom. As for the size of the total moment: 0.27 μB per cell. As for the density of states at the Fermi level: 0.000 states/eV/cell.

***

Entry 12:
Material: PrLuGa
Method: DFT, PBE
State: optimized geometry

```
PrLuGa
1.0
-2.473 -0.262 4.358
0.904 -3.779 3.174
2.415 0.868 4.311
Ga Lu Pr
1 1 1
direct
0.250 0.250 0.250
0.000 0.000 0.000
0.500 0.500 0.500
```

As for the electronic total energy: -13.0 eV per cell. As for the size of the total moment: 0.01 μB per cell. Its energy relative to the elements is -21.4 kJ per mole of atoms. As for the density of states at the Fermi level: 4.853 states/eV/cell. The energy above the most stable polymorph in this dataset is 122 meV/atom.